Computed, not measured: an optimized crystal structure of RbBa2La at the GGA-PBE level of DFT.

a = 10.3477 Å, b = 10.3477 Å, c = 8.1541 Å
α = 90.00°, β = 90.00°, γ = 90.00°
Space group I-42d (No. 122)
Asymmetric unit:
Rb 0.0000 0.0000 0.0000
Ba 0.2425 0.2500 0.6250
La 0.0000 0.0000 0.5000

Output
Formation enthalpy at 0 K   493 meV per atom
Calculated density   3.80 g/cm3
D(E_F)   3.59 states/eV/f.u.